(1)
The following is a DFT calculation (GGA-PBE) of a relaxed Mn2Zn3 crystal.

Output
Energy of formation = 0.243 eV/atom
Space-group type = R-3m, No. 166
ΔE to the lowest computed polymorph = 158 meV/atom
Energy = -4.1892 eV per atom

Structure (POSCAR):
```
Mn2Zn3
1.0
-0.004 -4.642 1.938
2.496 -0.947 4.264
-4.391 -0.452 5.437
Zn Mn
6 4
Cartesian
-1.422 -2.210 7.760
-2.672 -4.058 6.598
-2.670 -1.737 5.628
0.773 -1.984 5.041
0.772 -4.305 6.011
-0.477 -3.832 3.879
-0.564 -4.764 8.174
0.385 -1.743 2.354
-1.335 -1.278 3.465
-2.284 -4.299 9.284
```

(2)
The following is a DFT calculation (GGA-PBE) of a relaxed Mn3Zn crystal.

Output
Energy of formation = 0.120 eV/atom
Space-group type = P-6m2, No. 187
Energy = -7.0755 eV per atom

Structure (POSCAR):
```
Mn3Zn
1.0
-1.234 -1.209 1.858
2.087 -1.026 -1.014
4.700 3.942 5.687
Mn Zn
3 1
Cartesian
0.074 0.062 0.089
2.276 1.909 2.754
2.155 -0.102 1.365
4.505 1.869 4.209
```

(3)
The following is a DFT calculation (GGA-PBE) of a relaxed MnZn3 crystal.

Output
Energy of formation = -0.015 eV/atom
Space-group type = Pm-3m, No. 221
Energy = -3.2624 eV per atom

Structure (POSCAR):
```
MnZn3
1.0
3.826 0.000 0.000
0.000 3.827 0.000
0.000 0.000 3.831
Zn Mn
3 1
Cartesian
0.000 0.000 0.319
0.000 1.913 2.234
1.913 1.913 0.319
1.913 0.000 2.235
```

(4)
The following is a DFT calculation (GGA-PBE) of a relaxed Mn3Zn4 crystal.

Output
Energy of formation = 0.082 eV/atom
Space-group type = I4/mmm, No. 139
ΔE to the lowest computed polymorph = 0 meV/atom
Energy = -4.5760 eV per atom

Structure (POSCAR):
```
Mn3Zn4
1.0
-2.439 0.441 1.258
-0.693 -12.849 0.087
1.214 -0.349 2.476
Mn Zn
3 4
Cartesian
0.000 0.000 0.000
-0.224 -7.457 2.178
-1.694 -5.300 1.643
0.492 -3.915 2.326
-0.958 -11.085 2.026
-0.960 -1.673 1.795
-2.411 -8.842 1.494
```

(5)
The following is a DFT calculation (GGA-PBE) of a relaxed Mn3Zn crystal.

Output
Energy of formation = 0.115 eV/atom
Space-group type = Cmmm, No. 65
Energy = -7.0808 eV per atom

Structure (POSCAR):
```
Mn3Zn
1.0
4.473 -0.041 0.000
-1.289 4.284 0.000
0.000 0.000 2.624
Mn Zn
3 1
Cartesian
0.000 0.000 0.000
-0.645 2.142 1.312
2.237 -0.021 1.312
1.592 2.121 0.000
```

(6)
The following is a DFT calculation (GGA-PBE) of a relaxed MnZn3 crystal.

Output
Energy of formation = 0.042 eV/atom
Space-group type = Pmm2, No. 25
Energy = -3.2056 eV per atom

Structure (POSCAR):
```
MnZn3
1.0
2.822 0.000 0.000
0.000 4.334 0.000
0.000 0.000 4.704
Zn Mn
3 1
Cartesian
0.000 2.167 1.564
1.411 0.000 2.340
1.411 2.167 3.964
0.000 0.000 4.676
```

(7)
The following is a DFT calculation (GGA-PBE) of a relaxed Mn3Zn crystal.

Output
Energy of formation = 0.189 eV/atom
Space-group type = Pnma, No. 62
Energy = -7.0071 eV per atom

Structure (POSCAR):
```
Mn3Zn
1.0
-1.571 2.110 3.703
5.182 -4.513 4.769
3.607 3.594 -0.518
Zn Mn
4 12
Cartesian
6.038 -1.008 3.488
1.057 0.240 2.745
6.160 0.952 5.209
1.180 2.199 4.466
2.990 4.010 4.213
6.059 -2.636 5.474
3.552 -0.452 3.166
5.277 1.411 2.818
2.770 3.595 0.511
4.370 -0.840 5.460
2.848 2.031 2.495
4.448 -2.403 7.444
1.941 -0.220 5.136
3.666 1.643 4.788
1.159 3.827 2.480
4.228 -2.819 3.742
```

(8)
The following is a DFT calculation (GGA-PBE) of a relaxed MnZn3 crystal.

Output
Energy of formation = 0.174 eV/atom
Space-group type = Pm-3n, No. 223
Energy = -3.0737 eV per atom

Structure (POSCAR):
```
MnZn3
1.0
4.947 0.000 0.000
0.000 4.947 0.000
0.000 0.000 4.947
Mn Zn
2 6
Cartesian
0.000 0.000 0.000
2.473 2.473 2.473
0.000 1.237 2.473
0.000 3.710 2.473
1.237 2.473 0.000
2.473 0.000 1.237
2.473 0.000 3.710
3.710 2.473 0.000
```

(9)
The following is a DFT calculation (GGA-PBE) of a relaxed MnZn15 crystal.

Output
Energy of formation = 0.003 eV/atom
Space-group type = P-6m2, No. 187
Energy = -1.7643 eV per atom

Structure (POSCAR):
```
MnZn15
1.0
5.462 0.000 0.000
-2.731 4.730 0.000
0.000 0.000 9.121
Mn Zn
1 15
Cartesian
0.000 0.000 0.000
0.000 0.000 4.560
4.095 2.364 0.000
4.091 2.362 4.560
2.731 0.002 0.000
2.731 0.007 4.560
1.367 2.364 0.000
1.371 2.362 4.560
4.108 0.782 2.224
4.108 0.782 6.897
2.731 3.167 2.224
2.731 3.167 6.897
1.354 0.782 2.224
1.354 0.782 6.897
0.000 3.154 2.282
0.000 3.154 6.839
```

(10)
The following is a DFT calculation (GGA-PBE) of a relaxed Mn5Zn crystal.

Output
Energy of formation = 0.398 eV/atom
Space-group type = P6/mmm, No. 191
Energy = -7.4554 eV per atom

Structure (POSCAR):
```
Mn5Zn
1.0
-2.289 3.106 -2.459
0.603 0.631 4.492
3.507 1.991 -0.750
Mn Zn
5 1
Cartesian
2.055 1.311 1.871
-0.361 1.456 2.175
0.609 2.548 -1.605
0.910 2.864 0.641
-1.325 2.281 -0.142
0.000 0.000 0.000
```

(11)
The following is a DFT calculation (GGA-PBE) of a relaxed Mn24Zn5 crystal.

Output
Energy of formation = 0.023 eV/atom
Space-group type = I-43m, No. 217
Energy = -7.7857 eV per atom

Structure (POSCAR):
```
Mn24Zn5
1.0
7.549 0.000 0.000
-2.516 7.118 0.000
-2.516 -3.559 6.164
Mn Zn
24 5
Cartesian
0.529 2.671 0.000
2.342 1.389 0.000
3.597 5.087 1.110
1.081 1.529 5.054
3.597 -1.583 4.961
1.081 3.613 3.851
2.342 -0.695 1.203
0.529 -1.335 2.313
-1.435 1.976 1.203
-1.435 0.054 2.313
3.046 2.223 3.851
-2.691 2.864 4.961
4.116 2.741 0.000
1.212 4.795 0.000
-0.148 -0.209 4.385
2.369 3.350 1.778
-0.148 3.903 2.012
2.369 -0.135 3.790
1.212 -2.397 4.152
4.116 -1.371 2.374
-2.664 0.344 4.152
-2.664 3.424 2.374
-0.916 2.188 3.790
3.729 1.161 2.012
-1.603 4.534 0.000
4.809 0.000 0.000
-1.603 -2.267 3.926
0.914 1.292 2.238
0.000 0.000 0.000
```

(12)
The following is a DFT calculation (GGA-PBE) of a relaxed MnZn3 crystal.

Output
Energy of formation = 0.056 eV/atom
Space-group type = P-1, No. 2
Energy = -3.1923 eV per atom

Structure (POSCAR):
```
MnZn3
1.0
2.746 -0.007 0.002
-1.385 4.489 -0.036
0.007 -0.954 4.668
Zn Mn
3 1
Cartesian
1.371 2.010 1.132
1.377 -0.481 2.335
-0.003 1.518 3.502
0.000 0.000 0.000
```

(13)
The following is a DFT calculation (GGA-PBE) of a relaxed MnZn3 crystal.

Output
Energy of formation = 0.066 eV/atom
Space-group type = P-6m2, No. 187
Energy = -3.1816 eV per atom

Structure (POSCAR):
```
MnZn3
1.0
2.707 0.000 0.000
-1.354 2.344 0.000
0.000 0.000 8.834
Zn Mn
3 1
Cartesian
0.000 0.000 4.417
0.000 1.563 2.124
0.000 1.563 6.709
0.000 0.000 0.000
```

(14)
The following is a DFT calculation (GGA-PBE) of a relaxed MnZn3 crystal.

Output
Energy of formation = 0.044 eV/atom
Space-group type = Pnma, No. 62
Energy = -3.2038 eV per atom

Structure (POSCAR):
```
MnZn3
1.0
4.825 0.000 0.000
0.000 8.795 0.000
0.000 0.000 5.378
Mn Zn
4 12
Cartesian
0.314 6.596 3.347
2.099 2.199 0.658
2.727 6.596 4.721
4.512 2.199 2.032
4.522 2.199 4.764
1.194 0.024 1.990
1.194 4.373 1.990
1.218 4.422 4.679
1.218 8.771 4.679
2.717 6.596 2.075
2.109 2.199 3.303
3.607 0.024 0.699
3.607 4.373 0.699
3.631 4.422 3.388
3.631 8.771 3.388
0.304 6.596 0.614
```

(15)
The following is a DFT calculation (GGA-PBE) of a relaxed MnZn5 crystal.

Output
Energy of formation = 0.022 eV/atom
Space-group type = Cm, No. 8
Energy = -2.5678 eV per atom

Structure (POSCAR):
```
MnZn5
1.0
-2.149 -1.607 0.344
1.771 -1.131 -4.861
3.920 -5.058 0.862
Mn Zn
1 5
Cartesian
-0.378 -2.737 -4.513
3.406 -5.207 -3.049
1.779 -4.827 -0.798
1.579 -2.152 -0.190
1.768 -2.975 -2.854
-0.562 -1.920 -1.843
```

(16)
The following is a DFT calculation (GGA-PBE) of a relaxed Mn3Zn crystal.

Output
Energy of formation = 0.061 eV/atom
Space-group type = P4/mmm, No. 123
Energy = -7.1348 eV per atom

Structure (POSCAR):
```
Mn3Zn
1.0
-1.378 2.210 -0.497
-2.205 -1.176 0.883
1.366 2.309 6.485
Zn Mn
1 3
Cartesian
-0.767 2.248 5.057
0.022 0.037 0.105
0.661 1.117 3.138
-1.450 1.094 1.814
```

(17)
The following is a DFT calculation (GGA-PBE) of a relaxed MnZn3 crystal.

Output
Energy of formation = 0.040 eV/atom
Space-group type = Cmmm, No. 65
Energy = -3.2078 eV per atom

Structure (POSCAR):
```
MnZn3
1.0
-2.131 2.407 -3.215
-1.404 -4.285 -0.586
-2.178 0.469 1.794
Zn Mn
3 1
Cartesian
-1.791 -1.908 0.604
-2.154 1.438 -0.711
-1.768 -0.939 -1.900
0.000 0.000 0.000
```

(18)
The following is a DFT calculation (GGA-PBE) of a relaxed Mn6Zn7 crystal.

Output
Energy of formation = 0.183 eV/atom
Space-group type = R-3m, No. 166
Energy = -4.7355 eV per atom

Structure (POSCAR):
```
Mn6Zn7
1.0
-0.824 -3.716 -8.365
3.725 -4.710 -6.956
0.034 -7.455 -5.374
Zn Mn
7 6
Cartesian
0.791 -8.405 -12.731
1.224 -10.293 -11.220
3.088 -8.907 -12.020
2.145 -7.477 -7.964
-0.152 -6.975 -8.675
1.712 -5.588 -9.475
1.468 -7.941 -10.347
2.825 -15.283 -19.915
0.111 -0.599 -0.780
2.508 -13.568 -17.680
0.428 -2.314 -3.015
1.958 -10.593 -13.803
0.978 -5.289 -6.892
```

(19)
The following is a DFT calculation (GGA-PBE) of a relaxed Mn3Zn crystal.

Output
Energy of formation = 0.228 eV/atom
Space-group type = R-3m, No. 166
Energy = -6.9674 eV per atom

Structure (POSCAR):
```
Mn3Zn
1.0
2.446 0.000 0.000
0.815 4.694 0.000
0.815 -2.347 4.065
Mn Zn
3 1
Cartesian
0.000 0.000 0.000
0.815 1.173 2.033
1.631 -1.173 2.033
1.631 2.347 0.000
```

(20)
The following is a DFT calculation (GGA-PBE) of a relaxed MnZn3 crystal.

Output
Energy of formation = -0.004 eV/atom
Space-group type = P6_3/mmc, No. 194
Energy = -3.2516 eV per atom

Structure (POSCAR):
```
MnZn3
1.0
-1.101 2.523 4.725
-3.898 -2.876 -2.537
1.201 -3.546 2.173
Mn Zn
2 6
Cartesian
-2.666 -1.963 0.427
-1.133 -1.936 3.934
-1.272 0.727 4.045
-2.526 -4.626 0.316
-3.201 -0.696 2.790
-0.598 -3.203 1.571
-0.727 -0.521 1.708
-3.071 -3.378 2.653
```

(21)
The following is a DFT calculation (GGA-PBE) of a relaxed Mn3Zn crystal.

Output
Energy of formation = 0.221 eV/atom
Space-group type = C2/m, No. 12
Energy = -6.9746 eV per atom

Structure (POSCAR):
```
Mn3Zn
1.0
2.473 0.000 0.000
-1.236 4.218 -0.008
0.000 -0.567 4.524
Mn Zn
3 1
Cartesian
1.236 3.644 4.489
1.236 -0.277 2.289
0.000 1.684 3.389
1.236 1.967 1.127
```

(22)
The following is a DFT calculation (GGA-PBE) of a relaxed Zr4MnZn crystal.

Output
Energy of formation = -0.106 eV/atom
Space-group type = P4/mcc, No. 124
ΔE to the lowest computed polymorph = 0 meV/atom
Energy = -7.5454 eV per atom

Structure (POSCAR):
```
Zr4MnZn
1.0
-0.383 0.405 5.446
-1.395 -6.428 0.380
6.423 -1.362 0.553
Zr Mn Zn
8 2 2
Cartesian
3.921 -2.021 0.426
1.106 -5.769 0.506
0.647 -2.498 0.231
4.381 -5.292 0.701
2.828 -5.972 3.394
1.816 -1.413 2.984
0.040 -4.210 3.067
4.605 -3.175 3.311
2.418 -3.794 1.828
2.227 -3.592 4.551
-0.096 0.101 1.361
-0.287 0.303 4.084
```

(23)
The following is a DFT calculation (GGA-PBE) of a relaxed ZrMnZn2 crystal.

Output
Energy of formation = 0.001 eV/atom
Space-group type = I-4m2, No. 119
Energy = -5.0658 eV per atom

Structure (POSCAR):
```
ZrMnZn2
1.0
4.897 -0.011 0.000
1.531 4.652 0.000
-3.214 -2.320 2.875
Mn Zn Zr
1 2 1
Cartesian
2.449 -0.006 1.438
0.000 0.000 0.000
0.765 2.326 1.438
3.214 2.320 0.000
```

(24)
The following is a DFT calculation (GGA-PBE) of a relaxed ZrMnZn crystal.

Output
Energy of formation = 0.764 eV/atom
Space-group type = F-43m, No. 216
Energy = -5.5663 eV per atom

Structure (POSCAR):
```
ZrMnZn
1.0
4.482 0.000 0.000
2.241 3.881 0.000
2.241 1.294 3.659
Mn Zn Zr
1 1 1
Cartesian
0.000 0.000 0.000
4.482 2.588 1.830
6.723 3.881 2.745
```

(25)
The following is a DFT calculation (GGA-PBE) of a relaxed Zr2MnZn crystal.

Output
Energy of formation = -0.170 eV/atom
Space-group type = P2/m, No. 10
Energy = -7.0547 eV per atom

Structure (POSCAR):
```
Zr2MnZn
1.0
3.260 0.000 0.000
0.000 3.255 0.001
0.000 3.232 6.610
Zn Mn Zr
1 1 2
Cartesian
1.630 4.865 4.958
1.630 1.622 1.653
0.000 3.261 0.115
0.000 3.237 3.191
```